No. 1
PBE AcYGeO5, relaxed; ΔE_f (raw) = -2.854 eV/atom; crystal system = monoclinic; electronic total energy = -125.618 eV for the cell shown; volume = 252 Å³/cell
1.0
6.082 -0.053 0.067
-1.826 5.802 0.067
-1.688 -2.280 7.105
O Ac Ge Y
10 2 2 2
Cartesian
3.263 -0.305 2.704
-0.080 0.995 4.169
2.648 2.474 3.070
-0.694 3.774 4.535
1.819 1.354 0.617
-1.464 4.652 1.844
4.657 1.578 0.983
4.033 -1.183 5.396
-2.089 1.891 6.257
0.749 2.115 6.623
2.178 0.190 5.396
0.390 3.279 1.844
-0.550 2.210 5.396
3.119 1.259 1.844
-0.844 -1.140 3.552
0.000 0.000 0.000

No. 2
PBE AcZnGeO, relaxed; ΔE_f (raw) = -1.574 eV/atom; crystal system = tetragonal; electronic total energy = -42.507 eV for the cell shown; volume = 166 Å³/cell
1.0
-1.086 -0.154 -4.132
-2.053 -3.688 0.677
-7.629 4.582 1.834
Ac Zn Ge O
2 2 2 2
Cartesian
-7.592 2.100 1.917
-1.606 0.561 -1.810
-5.384 0.370 -0.810
-3.814 2.291 0.917
-5.571 2.943 -0.857
-3.627 -0.282 0.964
-1.569 -1.921 -1.727
0.000 0.000 0.000

No. 3
PBE AcZrGeO6, relaxed; ΔE_f (raw) = -2.505 eV/atom; crystal system = trigonal; electronic total energy = -139.128 eV for the cell shown; volume = 266 Å³/cell
1.0
-4.802 -0.135 2.433
0.792 -2.770 -4.550
3.095 -8.385 5.643
Ac O Zr Ge
2 12 2 2
Cartesian
0.000 0.000 0.000
1.548 -4.193 2.822
0.475 -9.940 1.881
-2.132 -3.005 -0.407
1.217 -8.285 3.934
-3.093 -4.796 1.581
2.178 -6.494 1.945
-1.390 -1.350 1.645
-0.480 -4.022 1.299
3.021 -8.935 1.978
-1.951 -3.130 3.431
-0.435 -7.268 2.227
-3.936 -2.355 1.549
1.036 -8.160 0.095
-0.616 -7.302 4.338
-0.299 -3.988 -0.812
-2.164 -3.110 1.516
1.249 -8.180 2.010

No. 4
PBE AcGe4Os2, relaxed; crystal system = orthorhombic; electronic total energy = -185.911 eV for the cell shown; ΔE_f = -205.8 meV/atom; volume = 539 Å³/cell
1.0
4.344 0.000 0.000
0.000 6.549 0.000
0.000 0.000 18.930
Ac Os Ge
4 8 16
Cartesian
3.258 6.492 12.064
1.086 0.057 6.866
3.258 3.331 2.599
1.086 3.218 16.331
3.258 3.124 13.506
1.086 6.399 14.890
1.086 5.185 0.398
3.258 1.364 18.532
3.258 1.911 9.067
1.086 4.638 9.863
1.086 3.425 5.424
3.258 0.150 4.041
3.258 6.454 1.548
1.086 1.466 3.786
3.258 4.164 18.382
1.086 4.489 13.054
1.086 2.385 0.548
1.086 0.889 10.014
3.258 2.060 5.877
3.258 3.370 11.013
3.258 1.215 15.342
1.086 5.335 3.588
1.086 3.179 7.918
3.258 5.660 8.917
3.258 5.083 15.145
3.258 4.741 5.680
1.086 1.808 13.251
1.086 0.096 17.383